The following is a PBE calculation of a relaxed Nd8SmBi6 crystal, from Alexandria via LeMat-Bulk.

Geometry as extended XYZ:
```
15
Lattice="4.185 2.416 8.793 -4.185 2.416 8.793 0.000 -4.832 8.793" Properties=species:S:1:pos:R:3 pbc="T T T"
Nd -2.807 -0.004 9.966
Nd 0.000 0.000 4.398
Nd -1.400 -2.433 16.414
Nd 1.407 -2.429 9.966
Nd -1.407 2.429 16.414
Nd 1.400 2.433 9.966
Nd 0.000 0.000 21.983
Nd 2.807 0.004 16.414
Sm 0.000 0.000 13.190
Bi -1.382 -2.400 11.437
Bi -2.769 -0.003 14.943
Bi -1.387 2.397 11.437
Bi 1.387 -2.397 14.943
Bi 2.769 0.003 11.437
Bi 1.382 2.400 14.943
```

Output
* crystal system: trigonal

The following is a PBE calculation of a relaxed Zn5Ni crystal, from Alexandria via LeMat-Bulk.

Geometry as extended XYZ:
```
6
Lattice="2.783 0.000 0.000 0.000 2.783 0.000 0.000 0.000 10.870" Properties=species:S:1:pos:R:3 pbc="T T T"
Zn 0.000 0.000 0.000
Zn 0.000 0.000 3.856
Zn 0.000 0.000 7.014
Zn 1.391 1.391 1.899
Zn 1.391 1.391 8.971
Ni 1.391 1.391 5.435
```

Output
* crystal system: tetragonal

no.,raw total energy (eV/atom),spin magnetization (μB/cell)
1,-5.012,0.00
2,-2.081,0.00